DFT (PBE+U) results for a geometry-optimized Rb3V2SnF9 structure.

Its density of states at the Fermi level is 0.00 states/eV/f.u. For the raw total energy, the calculation gives -0.3841 Ry/atom. The total magnetization comes out at 0.400 μB per atom.

It has space group P-3m1 (No. 164), with a = 6.2339 Å, b = 6.2339 Å, c = 7.7258 Å, α = 90.00°, β = 90.00° and γ = 120.00°. The distinct sites, in fractional coordinates, are Rb at (0.0000, 0.0000, 0.0000), Rb at (0.3333, 0.6667, 0.6792), V at (0.3333, 0.6667, 0.1535), Sn at (0.0000, 0.0000, 0.5000), F at (0.0000, 0.5000, 0.0000) and F at (0.1750, 0.3501, 0.3150).